Computed, not measured: a relaxed structure of LiBeI2Br at the PBE level of DFT.

## Properties
- VASP energy (eV per atom) = -2.273
- raw formation energy (eV/atom) = -0.190
- space-group type = P4/mmm
- crystal system = tetragonal

```
LiBeI2Br
1.0
4.973 0.000 0.000
0.000 4.973 0.000
0.000 0.000 10.969
Li Be I Br
1 1 2 1
direct
0.000 0.000 0.000
0.000 0.000 0.500
0.000 0.500 0.500
0.500 0.000 0.500
0.500 0.500 0.000
```